1.
# SiSnPdPb2 | Alexandria via LeMat-Bulk | SCAN | PBEsol geometry
data_SiSnPdPb2
_chemical_formula_sum 'Si1 Sn1 Pd1 Pb2'
_symmetry_space_group_name_H-M 'P 1'
_symmetry_Int_Tables_number 1
_cell_length_a 5.656
_cell_length_b 5.656
_cell_length_c 4.927
_cell_angle_alpha 90.00
_cell_angle_beta 90.00
_cell_angle_gamma 90.00
loop_
_symmetry_equiv_pos_as_xyz
'x,y,z'
loop_
_atom_site_label
_atom_site_type_symbol
_atom_site_fract_x
_atom_site_fract_y
_atom_site_fract_z
Si1 Si 0.000 0.000 0.000
Sn1 Sn 0.000 0.000 0.500
Pd1 Pd 0.500 0.500 0.000
Pb1 Pb 0.000 0.500 0.500
Pb2 Pb 0.500 0.000 0.500
# ΔE_f (raw)	1148	meV/atom
# VASP energy	-44.91	eV/atom
# size of the total moment	0.00	μB/f.u.

2.
# SmPdPb | Alexandria via LeMat-Bulk | SCAN | PBEsol geometry
data_SmPdPb
_chemical_formula_sum 'Sm3 Pd3 Pb3'
_symmetry_space_group_name_H-M 'P 1'
_symmetry_Int_Tables_number 1
_cell_length_a 7.691
_cell_length_b 7.691
_cell_length_c 3.981
_cell_angle_alpha 90.00
_cell_angle_beta 90.00
_cell_angle_gamma 120.00
loop_
_symmetry_equiv_pos_as_xyz
'x,y,z'
loop_
_atom_site_label
_atom_site_type_symbol
_atom_site_fract_x
_atom_site_fract_y
_atom_site_fract_z
Sm1 Sm 0.000 0.406 0.000
Sm2 Sm 0.406 0.000 0.000
Sm3 Sm 0.594 0.594 0.000
Pd1 Pd 0.000 0.000 0.000
Pd2 Pd 0.333 0.667 0.500
Pd3 Pd 0.667 0.333 0.500
Pb1 Pb 0.000 0.739 0.500
Pb2 Pb 0.261 0.261 0.500
Pb3 Pb 0.739 0.000 0.500
# VASP energy	-51.89	eV/atom
# size of the total moment	0.00	μB/f.u.
# formation energy	-887	meV/atom